[1]
# BaAgMo

A geometry-optimized BaAgMo structure (PBE-GGA, Alexandria).

extended XYZ file:
```
3
Lattice="5.2354 0.0000 0.0000 2.6177 4.5340 0.0000 2.6177 1.5113 4.2747" Properties=species:S:1:pos:R:3 pbc="T T T"
Mo 5.2354 3.0227 2.1374
Ba 0.0000 0.0000 0.0000
Ag 7.8532 4.5340 3.2060
```

The value obtained for the magnetization is 4.61 μB/cell. The calculation puts the density of states at the Fermi level at 1.38 states/eV/f.u. As for the space-group type: No. 216. As for the formation energy: 109.7 kJ per mole of atoms.

=====

[2]
# Co5Os4

A geometry-optimized Co5Os4 structure (PBE-GGA, Alexandria).

extended XYZ file:
```
9
Lattice="-3.8635 3.8635 1.8494 3.8635 -3.8635 1.8494 3.8635 3.8635 -1.8494" Properties=species:S:1:pos:R:3 pbc="T T T"
Co 1.2895 1.2895 1.8494
Co 2.5739 2.5739 0.0000
Co -1.2895 1.2895 1.8494
Co 0.0000 0.0000 0.0000
Co 1.2895 -1.2895 1.8494
Os 0.0000 2.5317 0.0000
Os 5.1952 0.0000 0.0000
Os 2.5317 0.0000 0.0000
Os 0.0000 5.1952 0.0000
```

The value obtained for the magnetization is 1.24 μB/cell. The calculation puts the density of states at the Fermi level at 9.49 states/eV/f.u. As for the space-group type: No. 139. As for the formation energy: 16.1 kJ per mole of atoms.

=====

[3]
# La3HgGe

A geometry-optimized La3HgGe structure (PBE-GGA, Alexandria).

extended XYZ file:
```
10
Lattice="-0.3786 0.3786 -4.2945 2.0883 -7.0113 1.3577 -9.4808 -2.6981 0.5666" Properties=species:S:1:pos:R:3 pbc="T T T"
La -3.1236 -2.1540 0.1486
La -7.5869 -3.7258 -1.8154
La -3.8755 -7.8058 -0.2945
La 1.1407 -6.6793 -2.8266
La -2.7144 -4.8405 -2.3225
La 0.7323 -3.9931 -0.3553
Hg -5.1337 -4.7148 0.0633
Hg -6.3284 -6.8186 -2.1739
Ge -0.9311 -2.2012 -2.2312
Ge -1.0504 -6.6320 -0.4473
```

The value obtained for the magnetization is 0.00 μB/cell. The calculation puts the density of states at the Fermi level at 4.47 states/eV/f.u. As for the space-group type: No. 2. As for the formation energy: -49.7 kJ per mole of atoms.

=====

[4]
# BeAg

A geometry-optimized BeAg structure (PBE-GGA, Alexandria).

extended XYZ file:
```
16
Lattice="7.0665 0.0000 0.0000 0.0000 7.0665 0.0000 0.0000 0.0000 7.0665" Properties=species:S:1:pos:R:3 pbc="T T T"
Be 2.7809 4.2856 2.7809
Be 0.7524 6.3141 6.3141
Be 2.7809 2.7809 4.2856
Be 6.3141 0.7524 6.3141
Be 0.7524 0.7524 0.7524
Be 6.3141 6.3141 0.7524
Be 4.2856 4.2856 4.2856
Be 4.2856 2.7809 2.7809
Ag 4.9828 2.0837 4.9828
Ag 1.4495 1.4495 5.6170
Ag 2.0837 2.0837 2.0837
Ag 1.4495 5.6170 1.4495
Ag 4.9828 4.9828 2.0837
Ag 2.0837 4.9828 4.9828
Ag 5.6170 5.6170 5.6170
Ag 5.6170 1.4495 1.4495
```

The value obtained for the magnetization is 0.00 μB/cell. The calculation puts the density of states at the Fermi level at 1.44 states/eV/f.u. As for the space-group type: No. 217. As for the formation energy: 74.2 kJ per mole of atoms.

=====

[5]
# CeUSbO2

A geometry-optimized CeUSbO2 structure (PBE-GGA, Alexandria).

extended XYZ file:
```
5
Lattice="3.9340 0.0000 0.0000 0.0000 3.9340 0.0000 -1.9670 -1.9670 6.3447" Properties=species:S:1:pos:R:3 pbc="T T T"
U 0.0000 0.0000 1.9510
O 1.9670 0.0000 3.1166
O 0.0000 1.9670 3.1166
Ce 1.9670 1.9670 4.4486
Sb 1.9670 1.9670 0.0566
```

The value obtained for the magnetization is 3.00 μB/cell. The calculation puts the density of states at the Fermi level at 10.92 states/eV/f.u. As for the space-group type: No. 107. The calculation puts the energy relative to the elements, uncorrected at -2.40 eV/atom.

=====

[6]
# ZrNi4

A geometry-optimized ZrNi4 structure (PBE-GGA, Alexandria).

extended XYZ file:
```
20
Lattice="4.6327 -0.7213 0.9099 -1.2592 9.9140 -0.8330 1.5181 -0.7494 6.1626" Properties=species:S:1:pos:R:3 pbc="T T T"
Ni 4.0530 2.7868 5.4103
Ni 1.8900 4.1711 4.7608
Ni 3.0016 4.2722 1.4787
Ni 1.8967 8.3299 3.7174
Ni 0.8386 5.6565 0.8293
Ni 2.9963 2.4461 3.2959
Ni 2.2153 7.8034 1.3223
Ni 2.6764 0.6399 4.9172
Ni 1.8953 5.9972 2.9437
Ni -0.2247 9.5956 -0.0947
Ni 0.9503 3.7271 2.5353
Ni 2.7514 6.6314 5.2281
Ni 5.1164 -1.1523 6.3342
Ni 2.9949 0.1134 2.5221
Ni 3.9413 4.7162 3.7043
Ni 2.1403 1.8119 1.0115
Zr 4.9237 5.4701 5.9727
Zr -0.0320 2.9732 0.2669
Zr 5.1823 0.5250 4.1680
Zr -0.2906 7.9183 2.0716
```

The value obtained for the magnetization is 0.00 μB/cell. The calculation puts the density of states at the Fermi level at 4.89 states/eV/f.u. As for the space-group type: No. 2. As for the formation energy: -22.1 kJ per mole of atoms.

=====

[7]
# PrDy2HoTm5

A geometry-optimized PrDy2HoTm5 structure (PBE-GGA, Alexandria).

extended XYZ file:
```
18
Lattice="8.8901 0.0000 0.0000 0.0000 8.8901 0.0000 -4.4450 -4.4450 7.2555" Properties=species:S:1:pos:R:3 pbc="T T T"
Ho 4.4450 0.0000 3.6277
Ho 0.0000 4.4450 3.6277
Tm 2.6195 -1.8255 5.3456
Tm 1.8255 2.6195 5.3456
Tm 7.0645 2.6195 1.9098
Tm -2.6195 1.8255 5.3456
Tm -1.8255 -2.6195 5.3456
Tm 4.4450 4.4450 0.0000
Tm 1.8255 6.2706 1.9098
Tm 6.2706 7.0645 1.9098
Tm 2.6195 1.8255 1.9098
Tm 0.0000 0.0000 0.0000
Dy 1.0000 3.4450 0.0000
Dy 3.4450 7.8900 0.0000
Dy 7.8900 5.4451 0.0000
Dy 5.4451 1.0000 0.0000
Pr 0.0000 0.0000 3.6277
Pr 4.4450 4.4450 3.6277
```

The value obtained for the magnetization is 0.00 μB/cell. The calculation puts the density of states at the Fermi level at 10.83 states/eV/f.u. As for the space-group type: No. 140. As for the formation energy: 27.8 kJ per mole of atoms.

=====

[8]
# Ac2HfSe6

A geometry-optimized Ac2HfSe6 structure (PBE-GGA, Alexandria).

extended XYZ file:
```
9
Lattice="-0.6361 -2.2984 -4.3503 -3.6725 -5.5418 3.4649 -4.0557 6.9143 -1.3503" Properties=species:S:1:pos:R:3 pbc="T T T"
Hf 0.0000 0.0000 0.0000
Se -3.6891 2.4178 -4.3130
Se -2.7416 -0.4260 0.2531
Se -4.6752 -3.3437 2.0773
Se -3.2165 -5.5231 0.5595
Se -5.6226 -0.4999 -2.4888
Se -1.0920 -2.3171 -1.4449
Ac -4.1453 2.0071 -1.1834
Ac -4.2189 -2.9331 -1.0523
```

The value obtained for the magnetization is 0.00 μB/cell. The calculation puts the density of states at the Fermi level at 2.84 states/eV/f.u. As for the space-group type: No. 12. The calculation puts the energy relative to the elements, uncorrected at -1.37 eV/atom.